First-principles (GGA-PBE) data for crystalline Y2TeP at its relaxed geometry, as listed in Alexandria.

Computed properties:
Relative energy among the computed polymorphs = 155 kJ/mol of formula units
Space group = P2/m (10)

Cell lengths 3.726, 3.755, 7.361 Å; angles 90.00, 101.50, 90.00 degrees
Positions (direct):
Y1 0.099 0.000 0.275
Y2 0.901 0.000 0.725
Te1 0.500 0.500 0.000
P1 0.500 0.500 0.500